Density functional theory data (PBE) for a geometry-optimized Mg2Ga3Ni4 structure.

abc: 5.2686 6.8199 7.6580
angles: 90.00 110.12 90.00
Last column: nearest neighbours and their distance in Å.
Element x y z (fractional)
Ni (0.6688, 0.5180, 0.3375)  5 Ga 2.43-2.46, 2 Ni 2.67
Ni (0.3312, 0.4820, 0.6625)  5 Ga 2.43-2.46, 2 Ni 2.67
Ni (0.8197, 0.2500, 0.1394)  3 Ga 2.38-2.42, 2 Ni 2.63
Ni (0.1803, 0.7500, 0.8606)  3 Ga 2.38-2.42, 2 Ni 2.63
Ni (0.8312, 0.0180, 0.6625)  5 Ga 2.43-2.46, 2 Ni 2.67
Ni (0.3197, 0.2500, 0.1394)  3 Ga 2.38-2.42, 2 Ni 2.63
Ni (0.6803, 0.7500, 0.8606)  3 Ga 2.38-2.42, 2 Ni 2.63
Ni (0.1688, 0.9820, 0.3375)  5 Ga 2.43-2.46, 2 Ni 2.67
Mg (0.4039, 0.0949, 0.8078)  7 Ni 2.72-2.92, 4 Ga 2.92-3.04
Mg (0.9039, 0.4051, 0.8078)  7 Ni 2.72-2.92, 4 Ga 2.92-3.04
Mg (0.5961, 0.9051, 0.1922)  7 Ni 2.72-2.92, 4 Ga 2.92-3.04
Mg (0.0961, 0.5949, 0.1922)  7 Ni 2.72-2.92, 4 Ga 2.92-3.04
Ga (0.4880, 0.2500, 0.4759)  5 Ni 2.42-2.46, 2 Ga 2.63
Ga (0.0120, 0.7500, 0.5241)  5 Ni 2.42-2.46, 2 Ga 2.63
Ga (0.0000, 0.0000, 0.0000)  6 Ni 2.38-2.43
Ga (0.5000, 0.5000, 0.0000)  6 Ni 2.38-2.43
Ga (0.9880, 0.2500, 0.4759)  5 Ni 2.42-2.46, 2 Ga 2.63
Ga (0.5120, 0.7500, 0.5241)  5 Ni 2.42-2.46, 2 Ga 2.63

Crystal system: orthorhombic
N(E_F) (states/eV per cell): 8.84
DFT formation energy (eV per atom): -0.3280
Mass density (g/cm³): 6.33
SG: No. 64
Total moment (μB per formula unit): 0.00



Density functional theory data (PBE) for a geometry-optimized Co2PbSe structure.

abc: 3.1135 3.1135 6.7291
angles: 90.00 90.00 90.00
Last column: nearest neighbours and their distance in Å.
Element x y z (fractional)
Pb (0.5000, 0.5000, 0.2500)  8 Co 3.02, 4 Pb 3.11, 2 Se 3.36
Co (0.0000, 0.0000, 0.5571)  4 Se 2.56, 1 Co 2.60
Co (0.0000, 0.0000, 0.9429)  4 Se 2.56, 1 Co 2.60
Se (0.5000, 0.5000, 0.7500)  8 Co 2.56

Crystal system: tetragonal
N(E_F) (states/eV per cell): 4.32
Uncorrected formation energy (eV/atom): 0.375
Mass density (g/cm³): 10.29
SG: No. 123
Total moment (μB per formula unit): 1.70



Density functional theory data (PBE) for a geometry-optimized AcLa2In structure.

abc: 3.8623 6.2068 23.5411
angles: 90.00 90.00 90.00
Last column: nearest neighbours and their distance in Å.
Element x y z (fractional)
In (0.2500, 0.5703, 0.3801)  5 La 3.38-3.60, 2 Ac 3.48
In (0.7500, 0.4297, 0.6199)  5 La 3.38-3.60, 2 Ac 3.48
In (0.2500, 0.9297, 0.8801)  5 La 3.38-3.60, 2 Ac 3.48
In (0.7500, 0.0703, 0.1199)  5 La 3.38-3.60, 2 Ac 3.48
La (0.2500, 0.8924, 0.6216)  4 In 3.46-3.85, 5 La 3.50-3.86, 1 Ac 3.60
La (0.7500, 0.3924, 0.8784)  4 In 3.46-3.85, 5 La 3.50-3.86, 1 Ac 3.60
La (0.2500, 0.2334, 0.0103)  3 In 3.38-3.60, 3 La 3.50-3.52
La (0.2500, 0.2666, 0.5103)  3 In 3.38-3.60, 3 La 3.50-3.52
La (0.7500, 0.1076, 0.3784)  4 In 3.46-3.85, 5 La 3.50-3.86, 1 Ac 3.60
La (0.7500, 0.7334, 0.4897)  3 In 3.38-3.60, 3 La 3.50-3.52
La (0.2500, 0.6076, 0.1216)  4 In 3.46-3.85, 5 La 3.50-3.86, 1 Ac 3.60
La (0.7500, 0.7666, 0.9897)  3 In 3.38-3.60, 3 La 3.50-3.52
Ac (0.7500, 0.7224, 0.2641)  2 In 3.48, 1 La 3.60, 6 Ac 3.72-3.86
Ac (0.2500, 0.2776, 0.7359)  2 In 3.48, 1 La 3.60, 6 Ac 3.72-3.86
Ac (0.7500, 0.7776, 0.7641)  2 In 3.48, 1 La 3.60, 6 Ac 3.72-3.86
Ac (0.2500, 0.2224, 0.2359)  2 In 3.48, 1 La 3.60, 6 Ac 3.72-3.86

Crystal system: orthorhombic
N(E_F) (states/eV per cell): 21.37
DFT formation energy (eV per atom): -0.2117
Mass density (g/cm³): 7.29
SG: No. 62
Total moment (μB per formula unit): 0.00



Density functional theory data (PBE) for a geometry-optimized AlIrAu structure.

abc: 5.5198 5.5198 3.0190
angles: 74.13 74.13 31.74
Last column: nearest neighbours and their distance in Å.
Element x y z (fractional)
Ir (0.6442, 0.6442, 0.3558)  4 Al 2.52
Al (0.0128, 0.0128, 0.9872)  4 Ir 2.52, 4 Au 2.75
Au (0.3430, 0.3430, 0.6570)  4 Al 2.75, 5 Ir 2.94-3.07, 4 Au 3.02

Crystal system: tetragonal
N(E_F) (states/eV per cell): 0.82
DFT formation energy (eV per atom): -0.3770
Mass density (g/cm³): 14.89
SG: No. 107
Total moment (μB per formula unit): 0.00



Density functional theory data (PBE) for a geometry-optimized ScTeSN2 structure.

abc: 4.0222 4.0222 5.0835
angles: 90.00 90.00 90.00
Last column: nearest neighbours and their distance in Å.
Element x y z (fractional)
N (0.5000, 0.0000, 0.0000)  2 Te 2.01
N (0.0000, 0.5000, 0.0000)  2 Te 2.01
Te (0.0000, 0.0000, 0.0000)  4 N 2.01
Sc (0.5000, 0.5000, 0.5000)  4 S 2.84
S (0.0000, 0.0000, 0.5000)  2 Te 2.54, 4 Sc 2.84

Crystal system: tetragonal
N(E_F) (states/eV per cell): 3.38
Uncorrected formation energy (eV/atom): 0.632
Mass density (g/cm³): 4.70
SG: No. 123
Total moment (μB per formula unit): 0.00



Density functional theory data (PBE) for a geometry-optimized LaMg2HPd structure.

abc: 4.3854 4.3854 4.9385
angles: 90.00 90.00 90.00
Last column: nearest neighbours and their distance in Å.
Element x y z (fractional)
Pd (0.5000, 0.5000, 0.5000)  4 La 3.10, 8 Mg 3.30
Mg (0.0000, 0.5000, 0.0000)  2 H 2.19
Mg (0.5000, 0.0000, 0.0000)  2 H 2.19
H (0.0000, 0.0000, 0.0000)  4 Mg 2.19
La (0.0000, 0.0000, 0.5000)  2 H 2.47

Crystal system: tetragonal
N(E_F) (states/eV per cell): 3.17
Mass density (g/cm³): 5.16
SG: No. 123
Electronic total energy (eV/atom): -3.66
Total moment (μB per formula unit): 0.00